<P>
Entry from Alexandria: a relaxed structure of SiTcCl3 (GGA-PBE).

Results
**M_tot**: 3.6 Bohr magnetons per cell
**Calculated density**: 3.35 Mg/m³
**Fermi-level density of states**: 5.93 states/eV/cell

Unit cell a=4.868 b=4.868 c=4.868 alpha=90.00 beta=90.00 gamma=90.00
Space group Pm-3m (No. 221)
Symmetry-distinct sites (fractional):
Si  0.000  0.000  0.000 [1 per cell]
Tc  0.500  0.500  0.500 [1 per cell]
Cl  0.000  0.500  0.500 [3 per cell]

<Q>
Entry from Alexandria: a relaxed structure of SiTcCl3 (GGA-PBE).

Results
**M_tot**: 4.8 Bohr magnetons per cell
**Calculated density**: 3.09 Mg/m³
**Fermi-level density of states**: 7.86 states/eV/cell

Unit cell a=5.000 b=5.000 c=5.000 alpha=90.00 beta=90.00 gamma=90.00
Space group Pm-3m (No. 221)
Symmetry-distinct sites (fractional):
Si  0.000  0.000  0.000 [1 per cell]
Tc  0.500  0.500  0.500 [1 per cell]
Cl  0.000  0.000  0.500 [3 per cell]

Q: Which of them is the most stable? A: <P>.

<P>
Entry from Alexandria: a relaxed structure of SiTe3Cl (GGA-PBE).

Results
**M_tot**: 0.0 Bohr magnetons per cell
**Calculated density**: 5.08 Mg/m³
**Fermi-level density of states**: 5.84 states/eV/cell

Unit cell a=5.265 b=5.265 c=5.265 alpha=90.00 beta=90.00 gamma=90.00
Space group Pm-3m (No. 221)
Symmetry-distinct sites (fractional):
Si  0.000  0.000  0.000 [1 per cell]
Te  0.000  0.000  0.500 [3 per cell]
Cl  0.500  0.500  0.500 [1 per cell]

<Q>
Entry from Alexandria: a relaxed structure of SiTe3Cl (GGA-PBE).

Results
**M_tot**: 0.0 Bohr magnetons per cell
**Calculated density**: 4.56 Mg/m³
**Fermi-level density of states**: 3.63 states/eV/cell

Unit cell a=5.942 b=6.902 c=8.462 alpha=89.91 beta=69.48 gamma=90.00
Space group P-1 (No. 2)
Symmetry-distinct sites (fractional):
Si  0.000  0.000  0.000 [1 per cell]
Si  0.000  0.500  0.000 [1 per cell]
Te  0.130  0.251  0.735 [2 per cell]
Te  0.165  0.250  0.179 [2 per cell]
Te  0.342  0.750  0.818 [2 per cell]
Cl  0.360  0.749  0.274 [2 per cell]

Q: Which of them is the most stable? A: <Q>.

<P>
Entry from Alexandria: a relaxed structure of Si2TeCl (GGA-PBE).

Results
**M_tot**: 0.0 Bohr magnetons per cell
**Calculated density**: 3.55 Mg/m³
**Fermi-level density of states**: 0.95 states/eV/cell

Unit cell a=3.456 b=3.456 c=8.590 alpha=90.00 beta=90.00 gamma=90.00
Space group P4mm (No. 99)
Symmetry-distinct sites (fractional):
Si  0.000  0.000  0.000 [1 per cell]
Si  0.500  0.500  0.064 [1 per cell]
Te  0.500  0.500  0.356 [1 per cell]
Cl  0.000  0.000  0.756 [1 per cell]

<Q>
Entry from Alexandria: a relaxed structure of Si2TeCl (GGA-PBE).

Results
**M_tot**: 0.0 Bohr magnetons per cell
**Calculated density**: 3.57 Mg/m³
**Fermi-level density of states**: 4.55 states/eV/cell

Unit cell a=3.8143 b=3.8143 c=24.2745 alpha=90.00 beta=90.00 gamma=120.00
Space group R3m (No. 160, hexagonal axes)
Symmetry-distinct sites (fractional):
Si  0.0000  0.0000  0.0000 [3 per cell]
Si  0.0000  0.0000  0.2907 [3 per cell]
Te  0.0000  0.0000  0.7364 [3 per cell]
Cl  0.0000  0.0000  0.5580 [3 per cell]

<R>
Entry from Alexandria: a relaxed structure of Si2TeCl (GGA-PBE).

Results
**M_tot**: 0.0 Bohr magnetons per cell
**Calculated density**: 4.22 Mg/m³
**Fermi-level density of states**: 1.50 states/eV/cell

Unit cell a=4.875 b=4.875 c=3.632 alpha=90.00 beta=90.00 gamma=90.00
Space group P4/mmm (No. 123)
Symmetry-distinct sites (fractional):
Si  0.000  0.500  0.000 [2 per cell]
Te  0.000  0.000  0.500 [1 per cell]
Cl  0.500  0.500  0.500 [1 per cell]

Q: Which of them is the most stable? A: <P>.

<P>
Entry from Alexandria: a relaxed structure of Si2TeCl (GGA-PBE).

Results
**M_tot**: 0.0 Bohr magnetons per cell
**Calculated density**: 4.55 Mg/m³
**Fermi-level density of states**: 9.36 states/eV/cell

Unit cell a=6.840 b=6.840 c=6.840 alpha=90.00 beta=90.00 gamma=90.00
Space group F-43m (No. 216)
Symmetry-distinct sites (fractional):
Si  0.000  0.000  0.000 [4 per cell]
Si  0.250  0.250  0.250 [4 per cell]
Te  0.250  0.250  0.750 [4 per cell]
Cl  0.000  0.000  0.500 [4 per cell]

<Q>
Entry from Alexandria: a relaxed structure of Si2TeCl (GGA-PBE).

Results
**M_tot**: 0.0 Bohr magnetons per cell
**Calculated density**: 4.11 Mg/m³
**Fermi-level density of states**: 1.34 states/eV/cell

Unit cell a=3.534 b=3.534 c=7.087 alpha=90.00 beta=90.00 gamma=90.00
Space group P4/mmm (No. 123)
Symmetry-distinct sites (fractional):
Si  0.000  0.000  0.228 [2 per cell]
Te  0.500  0.500  0.000 [1 per cell]
Cl  0.500  0.500  0.500 [1 per cell]

Q: Which of them is the most stable? A: <Q>.

<P>
Entry from Alexandria: a relaxed structure of SiTeCl (GGA-PBE).

Results
**M_tot**: 0.0 Bohr magnetons per cell
**Calculated density**: 2.82 Mg/m³
**Fermi-level density of states**: 0.00 states/eV/cell

Unit cell a=3.856 b=7.342 c=8.911 alpha=113.47 beta=102.48 gamma=90.15
Space group P-1 (No. 2)
Symmetry-distinct sites (fractional):
Si  0.073  0.100  0.146 [2 per cell]
Te  0.382  0.655  0.767 [2 per cell]
Cl  0.133  0.910  0.268 [2 per cell]

<Q>
Entry from Alexandria: a relaxed structure of SiTeCl (GGA-PBE).

Results
**M_tot**: 0.0 Bohr magnetons per cell
**Calculated density**: 4.15 Mg/m³
**Fermi-level density of states**: 9.18 states/eV/cell

Unit cell a=6.740 b=6.740 c=6.740 alpha=90.00 beta=90.00 gamma=90.00
Space group F-43m (No. 216)
Symmetry-distinct sites (fractional):
Si  0.000  0.000  0.000 [4 per cell]
Te  0.250  0.250  0.750 [4 per cell]
Cl  0.250  0.250  0.250 [4 per cell]

Q: Which of them is the most stable? A: <P>.

<P>
Entry from Alexandria: a relaxed structure of SiTeCl (GGA-PBE).

Results
**M_tot**: 0.0 Bohr magnetons per cell
**Calculated density**: 3.12 Mg/m³
**Fermi-level density of states**: 1.27 states/eV/cell

Unit cell a=3.768 b=3.768 c=14.310 alpha=90.00 beta=90.00 gamma=90.00
Space group I4mm (No. 107)
Symmetry-distinct sites (fractional):
Si  0.000  0.000  0.000 [2 per cell]
Te  0.000  0.000  0.444 [2 per cell]
Cl  0.000  0.000  0.145 [2 per cell]

<Q>
Entry from Alexandria: a relaxed structure of SiTeCl (GGA-PBE).

Results
**M_tot**: 0.0 Bohr magnetons per cell
**Calculated density**: 3.97 Mg/m³
**Fermi-level density of states**: 3.46 states/eV/cell

Unit cell a=4.006 b=5.265 c=15.172 alpha=90.00 beta=90.00 gamma=90.00
Space group Fmm2 (No. 42)
Symmetry-distinct sites (fractional):
Si  0.000  0.000  0.000 [4 per cell]
Te  0.000  0.000  0.640 [4 per cell]
Cl  0.000  0.000  0.392 [4 per cell]

Q: Which of them is the most stable? A: <P>.

<P>
Entry from Alexandria: a relaxed structure of Si2Te2Cl (GGA-PBE).

Results
**M_tot**: 0.0 Bohr magnetons per cell
**Calculated density**: 4.88 Mg/m³
**Fermi-level density of states**: 3.33 states/eV/cell

Unit cell a=5.226 b=5.226 c=8.636 alpha=90.00 beta=90.00 gamma=90.00
Space group I4/mmm (No. 139)
Symmetry-distinct sites (fractional):
Si  0.000  0.000  0.142 [4 per cell]
Te  0.000  0.500  0.250 [4 per cell]
Cl  0.000  0.000  0.500 [2 per cell]

<Q>
Entry from Alexandria: a relaxed structure of Si2Te2Cl (GGA-PBE).

Results
**M_tot**: 0.0 Bohr magnetons per cell
**Calculated density**: 4.91 Mg/m³
**Fermi-level density of states**: 2.18 states/eV/cell

Unit cell a=7.858 b=7.858 c=3.802 alpha=90.00 beta=90.00 gamma=90.00
Space group P4/mbm (No. 127)
Symmetry-distinct sites (fractional):
Si  0.179  0.321  0.000 [4 per cell]
Te  0.148  0.648  0.500 [4 per cell]
Cl  0.000  0.000  0.000 [2 per cell]

Q: Which of them is the most stable? A: <P>.

<P>
Entry from Alexandria: a relaxed structure of TiSiCl3 (GGA-PBE).

Results
**M_tot**: 1.2 Bohr magnetons per cell
**Calculated density**: 2.64 Mg/m³
**Fermi-level density of states**: 6.65 states/eV/cell

Unit cell a=4.857 b=4.857 c=4.857 alpha=90.00 beta=90.00 gamma=90.00
Space group Pm-3m (No. 221)
Symmetry-distinct sites (fractional):
Ti  0.000  0.000  0.000 [1 per cell]
Si  0.500  0.500  0.500 [1 per cell]
Cl  0.000  0.000  0.500 [3 per cell]

<Q>
Entry from Alexandria: a relaxed structure of TiSiCl3 (GGA-PBE).

Results
**M_tot**: 3.0 Bohr magnetons per cell
**Calculated density**: 2.41 Mg/m³
**Fermi-level density of states**: 9.17 states/eV/cell

Unit cell a=5.009 b=5.009 c=5.009 alpha=90.00 beta=90.00 gamma=90.00
Space group Pm-3m (No. 221)
Symmetry-distinct sites (fractional):
Ti  0.000  0.000  0.000 [1 per cell]
Si  0.500  0.500  0.500 [1 per cell]
Cl  0.000  0.500  0.500 [3 per cell]

Q: Which of them is the most stable? A: <P>.

<P>
Entry from Alexandria: a relaxed structure of TiSiCl2 (GGA-PBE).

Results
**M_tot**: 0.0 Bohr magnetons per cell
**Calculated density**: 2.61 Mg/m³
**Fermi-level density of states**: 3.94 states/eV/cell

Unit cell a=3.0948 b=3.0948 c=33.8371 alpha=90.00 beta=90.00 gamma=120.00
Space group R-3m (No. 166, hexagonal axes)
Symmetry-distinct sites (fractional):
Ti  0.0000  0.0000  0.0000 [3 per cell]
Si  0.0000  0.0000  0.5000 [3 per cell]
Cl  0.0000  0.0000  0.3828 [6 per cell]

<Q>
Entry from Alexandria: a relaxed structure of TiSiCl2 (GGA-PBE).

Results
**M_tot**: 1.1 Bohr magnetons per cell
**Calculated density**: 3.59 Mg/m³
**Fermi-level density of states**: 9.75 states/eV/cell

Unit cell a=6.474 b=6.474 c=6.474 alpha=90.00 beta=90.00 gamma=90.00
Space group Fm-3m (No. 225)
Symmetry-distinct sites (fractional):
Ti  0.000  0.000  0.000 [4 per cell]
Si  0.000  0.000  0.500 [4 per cell]
Cl  0.250  0.250  0.250 [8 per cell]

Q: Which of them is the most stable? A: <P>.

<P>
Entry from Alexandria: a relaxed structure of TlSi2Cl (GGA-PBE).

Results
**M_tot**: 0.0 Bohr magnetons per cell
**Calculated density**: 5.02 Mg/m³
**Fermi-level density of states**: 7.76 states/eV/cell

Unit cell a=4.412 b=4.412 c=20.113 alpha=90.00 beta=90.00 gamma=90.00
Space group I-42d (No. 122)
Symmetry-distinct sites (fractional):
Tl  0.000  0.000  0.000 [4 per cell]
Si  0.148  0.250  0.625 [8 per cell]
Cl  0.000  0.000  0.500 [4 per cell]

<Q>
Entry from Alexandria: a relaxed structure of TlSi2Cl (GGA-PBE).

Results
**M_tot**: 0.0 Bohr magnetons per cell
**Calculated density**: 5.75 Mg/m³
**Fermi-level density of states**: 0.60 states/eV/cell

Unit cell a=3.181 b=5.079 c=5.287 alpha=90.00 beta=90.00 gamma=90.00
Space group Pmmm (No. 47)
Symmetry-distinct sites (fractional):
Tl  0.000  0.000  0.000 [1 per cell]
Si  0.000  0.500  0.500 [1 per cell]
Si  0.500  0.000  0.500 [1 per cell]
Cl  0.500  0.500  0.000 [1 per cell]

<R>
Entry from Alexandria: a relaxed structure of TlSi2Cl (GGA-PBE).

Results
**M_tot**: 0.0 Bohr magnetons per cell
**Calculated density**: 4.16 Mg/m³
**Fermi-level density of states**: 2.64 states/eV/cell

Unit cell a=11.049 b=3.786 c=6.240 alpha=90.00 beta=115.27 gamma=90.00
Space group C2/m (No. 12)
Symmetry-distinct sites (fractional):
Tl  0.000  0.000  0.000 [2 per cell]
Si  0.192  0.500  0.392 [4 per cell]
Cl  0.000  0.500  0.500 [2 per cell]

<S>
Entry from Alexandria: a relaxed structure of TlSi2Cl (GGA-PBE).

Results
**M_tot**: 0.0 Bohr magnetons per cell
**Calculated density**: 5.01 Mg/m³
**Fermi-level density of states**: 1.04 states/eV/cell

Unit cell a=3.290 b=3.479 c=8.717 alpha=90.00 beta=100.57 gamma=90.00
Space group Pm (No. 6)
Symmetry-distinct sites (fractional):
Tl  0.000  0.000  0.000 [1 per cell]
Si  0.350  0.000  0.690 [1 per cell]
Si  0.806  0.500  0.598 [1 per cell]
Cl  0.686  0.500  0.351 [1 per cell]

Q: Which of them is the most stable? A: <S>.

<P>
Entry from Alexandria: a relaxed structure of TlSi2Cl (GGA-PBE).

Results
**M_tot**: 0.0 Bohr magnetons per cell
**Calculated density**: 4.65 Mg/m³
**Fermi-level density of states**: 1.48 states/eV/cell

Unit cell a=3.854 b=5.770 c=4.752 alpha=90.00 beta=90.25 gamma=90.00
Space group P2/m (No. 10)
Symmetry-distinct sites (fractional):
Tl  0.000  0.000  0.000 [1 per cell]
Si  0.247  0.500  0.140 [2 per cell]
Cl  0.500  0.000  0.500 [1 per cell]

<Q>
Entry from Alexandria: a relaxed structure of TlSi2Cl (GGA-PBE).

Results
**M_tot**: 0.0 Bohr magnetons per cell
**Calculated density**: 5.82 Mg/m³
**Fermi-level density of states**: 3.64 states/eV/cell

Unit cell a=3.181 b=5.400 c=9.842 alpha=90.00 beta=90.00 gamma=90.00
Space group Cmmm (No. 65)
Symmetry-distinct sites (fractional):
Tl  0.000  0.000  0.000 [2 per cell]
Si  0.000  0.500  0.281 [4 per cell]
Cl  0.000  0.000  0.500 [2 per cell]

<R>
Entry from Alexandria: a relaxed structure of TlSi2Cl (GGA-PBE).

Results
**M_tot**: 0.0 Bohr magnetons per cell
**Calculated density**: 5.28 Mg/m³
**Fermi-level density of states**: 2.90 states/eV/cell

Unit cell a=3.964 b=5.546 c=8.475 alpha=90.00 beta=90.00 gamma=90.00
Space group Cmm2 (No. 35)
Symmetry-distinct sites (fractional):
Tl  0.000  0.000  0.000 [2 per cell]
Si  0.000  0.000  0.532 [2 per cell]
Si  0.000  0.500  0.683 [2 per cell]
Cl  0.000  0.500  0.254 [2 per cell]

Q: Which of them is the most stable? A: <R>.

<P>
Entry from Alexandria: a relaxed structure of Tl2SiCl (GGA-PBE).

Results
**M_tot**: 0.0 Bohr magnetons per cell
**Calculated density**: 6.73 Mg/m³
**Fermi-level density of states**: 3.03 states/eV/cell

Unit cell a=7.445 b=4.362 c=7.277 alpha=90.00 beta=99.37 gamma=90.00
Space group C2/m (No. 12)
Symmetry-distinct sites (fractional):
Tl  0.198  0.000  0.195 [4 per cell]
Si  0.000  0.500  0.000 [2 per cell]
Cl  0.000  0.000  0.500 [2 per cell]

<Q>
Entry from Alexandria: a relaxed structure of Tl2SiCl (GGA-PBE).

Results
**M_tot**: 0.0 Bohr magnetons per cell
**Calculated density**: 7.12 Mg/m³
**Fermi-level density of states**: 2.67 states/eV/cell

Unit cell a=4.269 b=4.269 c=6.045 alpha=90.00 beta=90.00 gamma=90.00
Space group P4/mmm (No. 123)
Symmetry-distinct sites (fractional):
Tl  0.000  0.000  0.000 [1 per cell]
Tl  0.500  0.500  0.500 [1 per cell]
Si  0.000  0.000  0.500 [1 per cell]
Cl  0.500  0.500  0.000 [1 per cell]

<R>
Entry from Alexandria: a relaxed structure of Tl2SiCl (GGA-PBE).

Results
**M_tot**: 0.0 Bohr magnetons per cell
**Calculated density**: 7.55 Mg/m³
**Fermi-level density of states**: 4.16 states/eV/cell

Unit cell a=3.368 b=5.882 c=10.494 alpha=90.00 beta=90.00 gamma=90.00
Space group Cmm2 (No. 35)
Symmetry-distinct sites (fractional):
Tl  0.000  0.000  0.000 [2 per cell]
Tl  0.000  0.500  0.294 [2 per cell]
Si  0.000  0.500  0.757 [2 per cell]
Cl  0.000  0.000  0.578 [2 per cell]

Q: Which of them is the most stable? A: <Q>.